VASP calculation (PBE) on a relaxed structure of Ta5Nb4In2.

Lattice parameters (Å, degrees): 5.4909 5.4909 11.8910 105.62 105.62 37.11
Closest atoms and distances in Å follow each position.
Positions (direct):
Ta 0.0000 0.0000 0.0000  4 Nb 2.80, 4 In 2.95
Ta 0.1930 0.1930 0.2765  4 Nb 2.83-2.93, 2 Ta 2.90, 2 In 2.99
Ta 0.3615 0.3615 0.5476  5 Ta 2.87-3.20, 4 Nb 2.88-2.89
Ta 0.6385 0.6385 0.4524  5 Ta 2.87-3.20, 4 Nb 2.88-2.89
Ta 0.8070 0.8070 0.7235  4 Nb 2.83-2.93, 2 Ta 2.90, 2 In 2.99
Nb 0.0885 0.0885 0.6289  6 Ta 2.83-2.89, 2 In 2.95, 1 Nb 3.10
Nb 0.2843 0.2843 0.9152  4 Ta 2.80-2.93, 2 Nb 2.91, 2 In 2.99
Nb 0.7157 0.7157 0.0848  4 Ta 2.80-2.93, 2 Nb 2.91, 2 In 2.99
Nb 0.9115 0.9115 0.3711  6 Ta 2.83-2.89, 2 In 2.95, 1 Nb 3.10
In 0.4534 0.4534 0.1844  6 Ta 2.95-3.22, 6 Nb 2.95-3.27
In 0.5466 0.5466 0.8156  6 Ta 2.95-3.22, 6 Nb 2.95-3.27

Properties
The value obtained for the formation energy is 0.6 eV/f.u. The value obtained for the final energy is -0.6974 Ry per atom.